1.
# Tl2GaSi2

Tl2GaSi2 at its PBEsol-relaxed geometry (meta-GGA SCAN, the Alexandria database).

Unit cell a=3.4617 b=3.4617 c=9.5219 alpha=100.47 beta=100.47 gamma=90.00
Sites, in units of the cell vectors:
Ga 0.0000 0.0000 0.0000
Tl 0.3917 0.3917 0.7834
Tl 0.6083 0.6083 0.2166
Si 0.2500 0.7500 0.5000
Si 0.7500 0.2500 0.5000

Its symmetry is I4/mmm (139). The density of states at the Fermi level is 0.3914 states/eV/atom. The calculation puts the uncorrected energy at -35.843 eV/atom. The formation energy from raw total energies comes out at 0.38 eV per atom.



2.
# CuPPb

CuPPb at its PBEsol-relaxed geometry (meta-GGA SCAN, the Alexandria database).

Unit cell a=3.9021 b=3.9021 c=9.3440 alpha=90.00 beta=90.00 gamma=120.00
Sites, in units of the cell vectors:
Cu 0.6667 0.3333 0.0939
Cu 0.3333 0.6667 0.5939
Pb 0.6667 0.3333 0.7882
Pb 0.3333 0.6667 0.2882
P 0.0000 0.0000 0.0609
P 0.0000 0.0000 0.5609

As for the offset from the most stable computed form: 67.5 meV/atom. Its symmetry is P6_3mc (186). The density of states at the Fermi level is 0.4558 states/eV/atom. The calculation puts the uncorrected energy at -33.719 eV/atom. For the energy of formation, the calculation gives 0.074 eV/atom.



3.
# TcAg2Br

TcAg2Br at its PBEsol-relaxed geometry (meta-GGA SCAN, the Alexandria database).

Unit cell a=4.2756 b=4.2756 c=4.9329 alpha=115.68 beta=115.68 gamma=90.00
Sites, in units of the cell vectors:
Br 0.5000 0.5000 0.0000
Tc 0.2500 0.7500 0.5000
Ag 0.7500 0.2500 0.5000
Ag 0.0000 0.0000 0.0000

As for the offset from the most stable computed form: 269.8 meV/atom. Its symmetry is I-4m2 (119). The density of states at the Fermi level is 0.4636 states/eV/atom. The calculation puts the uncorrected energy at -28.487 eV/atom. The formation energy from raw total energies comes out at 0.83 eV per atom.